[1]
Mg3MnN: optimized geometry, GGA-PBE.

## Properties
**Mass density**: 1.75 g/cm³
**Total DFT energy (no corrections)**: -14.5 eV/f.u.
**N(E_F)**: 5.30 states/eV/f.u.
**Space-group type**: Pm-3m (221)
**Total moment**: 1.1183 μB/atom
**Polymorph energy (0 for the lowest one)**: 1591 meV/atom
**Uncorrected formation energy**: 7.793 eV per formula unit

Lattice parameters (Å, degrees): 5.121 5.121 5.121 90.00 90.00 90.00
Site moments in Bohr magnetons follow the coordinates.
Fractional positions:
Mg 0.000 0.500 0.000  -0.01
Mg 0.000 0.000 0.500  -0.04
Mg 0.500 0.000 0.000  0.01
Mn 0.000 0.000 0.000  3.43
N 0.500 0.500 0.500  1.45

***

[2]
Mg2MnNbN4: optimized geometry, GGA-PBE.

## Properties
**Mass density**: 5.25 g/cm³
**Total DFT energy (no corrections)**: -61.8 eV/f.u.
**N(E_F)**: 2.18 states/eV/f.u.
**Space-group type**: P2/m (10)
**Total moment**: 0.2636 μB/atom
**Uncorrected formation energy**: -6.088 eV per formula unit

Lattice parameters (Å, degrees): 3.039 5.147 5.396 108.95 90.00 90.00
Site moments in Bohr magnetons follow the coordinates.
Fractional positions:
Mg 0.500 0.000 0.500  0.01
Mg 0.000 0.500 0.500  0.00
Mn 0.000 0.000 0.000  2.20
Nb 0.500 0.500 0.000  -0.16
N 0.500 0.235 0.233  0.01
N 0.500 0.765 0.767  0.01
N 0.000 0.248 0.760  0.01
N 0.000 0.752 0.240  0.01

***

[3]
Mg4MnNb3N8: optimized geometry, GGA-PBE.

## Properties
**Mass density**: 5.38 g/cm³
**Total DFT energy (no corrections)**: -126.2 eV/f.u.
**N(E_F)**: 7.15 states/eV/f.u.
**Space-group type**: R-3m (166)
**Total moment**: 0.1962 μB/atom
**Uncorrected formation energy**: -13.847 eV per formula unit

Lattice parameters (Å, degrees): 6.131 6.244 6.131 119.40 120.00 90.00
Site moments in Bohr magnetons follow the coordinates.
Fractional positions:
Mg 0.500 0.000 0.000  0.01
Mg 0.500 0.000 0.500  0.00
Mg 0.000 0.000 0.000  0.00
Mg 0.000 0.000 0.500  0.00
Mn 0.000 0.500 0.000  3.01
Nb 0.500 0.500 0.000  0.01
Nb 0.500 0.500 0.500  0.01
Nb 0.000 0.500 0.500  0.01
N 0.245 0.739 0.994  0.00
N 0.245 0.739 0.490  0.00
N 0.252 0.255 0.503  -0.01
N 0.749 0.739 0.994  0.00
N 0.251 0.261 0.006  0.00
N 0.748 0.745 0.497  -0.01
N 0.755 0.261 0.510  0.00
N 0.755 0.261 0.006  0.00

***

[4]
MgMnNi2N: optimized geometry, GGA-PBE.

## Properties
**Mass density**: 6.13 g/cm³
**Total DFT energy (no corrections)**: -31.6 eV/f.u.
**N(E_F)**: 3.27 states/eV/f.u.
**Space-group type**: P4/mmm (123)
**Total moment**: 0.4800 μB/atom
**Uncorrected formation energy**: -0.937 eV per formula unit

Lattice parameters (Å, degrees): 3.887 3.887 3.779 90.00 90.00 90.00
Site moments in Bohr magnetons follow the coordinates.
Fractional positions:
Ni 0.000 0.500 0.000  0.04
Ni 0.500 0.000 0.000  0.04
Mg 0.500 0.500 0.500  -0.02
Mn 0.000 0.000 0.500  2.43
N 0.000 0.000 0.000  -0.05

***

[5]
MgMn2NiN: optimized geometry, GGA-PBE.

## Properties
**Mass density**: 5.98 g/cm³
**Total DFT energy (no corrections)**: -34.9 eV/f.u.
**N(E_F)**: 3.64 states/eV/f.u.
**Space-group type**: P4/mmm (123)
**Total moment**: 0.7895 μB/atom
**Uncorrected formation energy**: -0.864 eV per formula unit

Lattice parameters (Å, degrees): 3.804 3.804 3.973 90.00 90.00 90.00
Site moments in Bohr magnetons follow the coordinates.
Fractional positions:
Ni 0.000 0.000 0.500  0.23
Mg 0.500 0.500 0.500  -0.04
Mn 0.000 0.500 0.000  1.95
Mn 0.500 0.000 0.000  1.95
N 0.000 0.000 0.000  -0.10

***

[6]
Mg3Np3MnN8: optimized geometry, GGA-PBE.

## Properties
**Mass density**: 8.26 g/cm³
**Total DFT energy (no corrections)**: -131.1 eV/f.u.
**N(E_F)**: 13.17 states/eV/f.u.
**Space-group type**: R-3m (166)
**Total moment**: 0.6694 μB/atom
**Uncorrected formation energy**: -11.754 eV per formula unit

Lattice parameters (Å, degrees): 6.518 6.518 6.416 120.53 90.00 120.00
Site moments in Bohr magnetons follow the coordinates.
Fractional positions:
Mg 0.000 0.000 0.000  0.00
Mg 0.000 0.500 0.000  0.00
Mg 0.500 0.500 0.000  0.00
Np 0.500 0.000 0.500  2.63
Np 0.500 0.500 0.500  2.63
Np 0.000 0.500 0.500  2.63
Mn 0.000 0.000 0.500  2.79
N 0.246 0.492 0.238  -0.09
N 0.754 0.508 0.762  -0.09
N 0.773 0.547 0.283  -0.12
N 0.227 0.453 0.717  -0.12
N 0.773 0.010 0.283  -0.12
N 0.227 0.990 0.717  -0.12
N 0.236 0.010 0.283  -0.12
N 0.764 0.990 0.717  -0.12

***

[7]
MgPa2MnN4: optimized geometry, GGA-PBE.

## Properties
**Mass density**: 9.22 g/cm³
**Total DFT energy (no corrections)**: -70.9 eV/f.u.
**N(E_F)**: 3.40 states/eV/f.u.
**Space-group type**: Imma (74)
**Total moment**: 0.4384 μB/atom
**Uncorrected formation energy**: -7.814 eV per formula unit

Lattice parameters (Å, degrees): 6.713 6.713 6.647 119.63 119.63 89.45
Site moments in Bohr magnetons follow the coordinates.
Fractional positions:
Mg 0.000 0.500 0.000  0.00
Mg 0.000 0.500 0.500  0.00
Pa 0.500 0.000 0.000  -0.28
Pa 0.500 0.000 0.500  -0.28
Pa 0.000 0.000 0.500  -0.12
Pa 0.500 0.500 0.000  -0.12
Mn 0.500 0.500 0.500  3.85
Mn 0.000 0.000 0.000  3.85
N 0.249 0.747 0.998  0.01
N 0.753 0.251 0.502  0.01
N 0.247 0.749 0.498  0.01
N 0.751 0.253 0.002  0.01
N 0.751 0.749 0.007  0.03
N 0.751 0.749 0.493  0.03
N 0.249 0.251 0.507  0.03
N 0.249 0.251 0.993  0.03

***

[8]
MgPaMnN3: optimized geometry, GGA-PBE.

## Properties
**Mass density**: 7.73 g/cm³
**Total DFT energy (no corrections)**: -50.5 eV/f.u.
**N(E_F)**: 2.24 states/eV/f.u.
**Space-group type**: P2_1/m (11)
**Total moment**: 0.0000 μB/atom
**Uncorrected formation energy**: -5.291 eV per formula unit

Lattice parameters (Å, degrees): 3.199 6.901 7.026 102.63 90.00 90.00
Fractional positions:
Mg 0.250 0.642 0.154
Mg 0.750 0.358 0.846
Pa 0.250 0.196 0.203
Pa 0.750 0.804 0.797
Mn 0.250 0.092 0.596
Mn 0.750 0.908 0.404
N 0.750 0.895 0.137
N 0.250 0.105 0.863
N 0.250 0.813 0.518
N 0.750 0.187 0.482
N 0.750 0.415 0.162
N 0.250 0.585 0.838

***

[9]
Mg3Pa2MnN6: optimized geometry, GGA-PBE.

## Properties
**Mass density**: 7.69 g/cm³
**Total DFT energy (no corrections)**: -94.6 eV/f.u.
**N(E_F)**: 5.79 states/eV/f.u.
**Space-group type**: C2/m (12)
**Total moment**: 0.0825 μB/atom
**Uncorrected formation energy**: -11.703 eV per formula unit

Lattice parameters (Å, degrees): 5.650 5.650 5.590 99.15 99.15 120.55
Site moments in Bohr magnetons follow the coordinates.
Fractional positions:
Mg 0.153 0.847 0.500  0.00
Mg 0.847 0.153 0.500  0.00
Mg 0.500 0.500 0.500  0.00
Pa 0.332 0.668 0.000  -0.13
Pa 0.668 0.332 0.000  -0.13
Mn 0.000 0.000 0.000  1.32
N 0.920 0.601 0.754  0.00
N 0.756 0.756 0.243  0.00
N 0.080 0.399 0.246  0.00
N 0.601 0.920 0.754  0.00
N 0.244 0.244 0.757  0.00
N 0.399 0.080 0.246  0.00

***

[10]
Mg2PaMnN4: optimized geometry, GGA-PBE.

## Properties
**Mass density**: 6.92 g/cm³
**Total DFT energy (no corrections)**: -61.4 eV/f.u.
**N(E_F)**: 1.97 states/eV/f.u.
**Space-group type**: Cmcm (63)
**Total moment**: 0.2727 μB/atom
**Uncorrected formation energy**: -6.221 eV per formula unit

Lattice parameters (Å, degrees): 3.267 5.695 10.520 90.00 90.00 106.67
Site moments in Bohr magnetons follow the coordinates.
Fractional positions:
Mg 0.380 0.759 0.540  0.00
Mg 0.620 0.241 0.040  0.00
Mg 0.620 0.241 0.460  0.00
Mg 0.380 0.759 0.960  0.00
Pa 0.095 0.190 0.750  0.24
Pa 0.905 0.810 0.250  0.24
Mn 0.832 0.665 0.750  1.77
Mn 0.168 0.335 0.250  1.77
N 0.284 0.568 0.130  0.00
N 0.716 0.432 0.630  0.00
N 0.716 0.432 0.870  0.00
N 0.284 0.568 0.370  0.00
N 0.000 0.000 0.500  0.01
N 0.000 0.000 0.000  0.01
N 0.432 0.864 0.750  -0.01
N 0.568 0.136 0.250  -0.01

***

[11]
Mg3Pa3MnN8: optimized geometry, GGA-PBE.

## Properties
**Mass density**: 7.71 g/cm³
**Total DFT energy (no corrections)**: -124.2 eV/f.u.
**N(E_F)**: 5.98 states/eV/f.u.
**Space-group type**: R-3m (166)
**Total moment**: 0.1735 μB/atom
**Uncorrected formation energy**: -15.148 eV per formula unit

Lattice parameters (Å, degrees): 6.711 6.711 6.447 121.36 90.00 120.00
Site moments in Bohr magnetons follow the coordinates.
Fractional positions:
Mg 0.000 0.000 0.000  0.00
Mg 0.000 0.500 0.000  0.00
Mg 0.500 0.500 0.000  0.00
Pa 0.500 0.000 0.500  -0.02
Pa 0.500 0.500 0.500  -0.02
Pa 0.000 0.500 0.500  -0.02
Mn 0.000 0.000 0.500  2.66
N 0.248 0.496 0.244  0.01
N 0.752 0.504 0.756  0.01
N 0.773 0.545 0.282  -0.01
N 0.227 0.455 0.718  -0.01
N 0.773 0.009 0.282  -0.01
N 0.227 0.991 0.718  -0.01
N 0.237 0.009 0.282  -0.01
N 0.763 0.991 0.718  -0.01

***

[12]
MgMn2PdN: optimized geometry, GGA-PBE.

## Properties
**Mass density**: 6.51 g/cm³
**Total DFT energy (no corrections)**: -35.1 eV/f.u.
**N(E_F)**: 2.99 states/eV/f.u.
**Space-group type**: P4/mmm (123)
**Total moment**: 1.2395 μB/atom
**Uncorrected formation energy**: -1.630 eV per formula unit

Lattice parameters (Å, degrees): 3.900 3.900 4.271 90.00 90.00 90.00
Site moments in Bohr magnetons follow the coordinates.
Fractional positions:
Mg 0.000 0.000 0.500  -0.02
Mn 0.000 0.500 0.000  3.01
Mn 0.500 0.000 0.000  3.01
Pd 0.500 0.500 0.500  0.19
N 0.000 0.000 0.000  -0.05